First-principles (PBE) data for a relaxed structure of PrAl2Cu2, as listed in OQMD via LeMat-Bulk.

POSCAR file:
```
PrAl2Cu2
1.0
-2.1662 2.1662 4.9565
2.1662 -2.1662 4.9565
2.1662 2.1662 -4.9565
Pr Al Cu
1 2 2
Cartesian
0.0000 0.0000 0.0000
0.0000 0.0000 3.6578
0.0000 0.0000 6.2552
2.1662 0.0000 2.4782
0.0000 2.1662 2.4782
```

Computed properties:
total DFT energy (no corrections): -4.30 eV per atom
space group: No. 139